## FeCo3Tc (PBEsol)

Data for an optimized crystal structure of FeCo3Tc.

POSCAR file:
```
FeCo3Tc
1.0
4.2687 0.0000 0.0000
0.0000 4.2687 0.0000
0.0000 0.0000 4.2687
Fe Co Tc
1 3 1
Cartesian
0.0000 0.0000 0.0000
0.0000 2.1343 2.1343
2.1343 0.0000 2.1343
2.1343 2.1343 0.0000
2.1343 2.1343 2.1343
```

**VASP energy**: -6.99 eV per atom
**Energy relative to the lowest polymorph listed for this composition**: 294.7 meV per atom
**E_form**: 1.70 eV per atom

## Ca2InPt (PBEsol)

Data for an optimized crystal structure of Ca2InPt.

POSCAR file:
```
Ca2InPt
1.0
3.5294 0.0000 0.0000
0.0000 3.5294 0.0000
0.0000 0.0000 7.6018
Ca In Pt
2 1 1
Cartesian
0.0000 0.0000 1.6410
0.0000 0.0000 5.9607
1.7647 1.7647 3.8009
1.7647 1.7647 0.0000
```

**VASP energy**: -4.20 eV per atom
**E_form**: -0.65 eV per atom